No. 1
# TlSnI2 GGA-PBE optimized geometry
data_TlSnI2
_cell_length_a 8.197
_cell_length_b 8.197
_cell_length_c 8.197
_cell_angle_alpha 90.00
_cell_angle_beta 90.00
_cell_angle_gamma 90.00
_space_group_name_H-M_alt 'F m -3 m'
_space_group_IT_number 225
_space_group_name_Hall '-F 4 2 3'
loop_
_atom_site_label
_atom_site_type_symbol
_atom_site_fract_x
_atom_site_fract_y
_atom_site_fract_z
_atom_site_occupancy
Tl1 Tl 0.000 0.000 0.000 1
Sn1 Sn 0.000 0.000 0.500 1
I1 I 0.250 0.250 0.250 1
# ρ ... 6.96 Mg/m³
# Offset from the most stable computed form ... 29 meV/atom
# Formation energy from raw total energies ... -0.215 eV per atom

No. 2
# TlSnI2 GGA-PBE optimized geometry
data_TlSnI2
_cell_length_a 5.2200
_cell_length_b 5.2200
_cell_length_c 20.1618
_cell_angle_alpha 90.00
_cell_angle_beta 90.00
_cell_angle_gamma 120.00
_space_group_name_H-M_alt 'R -3 m'
_space_group_IT_number 166
_space_group_name_Hall '-R 3 2"'
loop_
_atom_site_label
_atom_site_type_symbol
_atom_site_fract_x
_atom_site_fract_y
_atom_site_fract_z
_atom_site_occupancy
Tl1 Tl 0.0000 0.0000 0.0000 1
Sn1 Sn 0.0000 0.0000 0.5000 1
I1 I 0.0000 0.0000 0.2408 1
# ρ ... 6.04 Mg/m³
# Offset from the most stable computed form ... 0 meV/atom
# Formation energy from raw total energies ... -0.244 eV per atom

No. 3
# Tl6Sn3I14 GGA-PBE optimized geometry
data_Tl6Sn3I14
_cell_length_a 12.9614
_cell_length_b 12.9614
_cell_length_c 7.1675
_cell_angle_alpha 90.00
_cell_angle_beta 90.00
_cell_angle_gamma 120.00
_space_group_name_H-M_alt 'P 3'
_space_group_IT_number 143
_space_group_name_Hall 'P 3'
loop_
_atom_site_label
_atom_site_type_symbol
_atom_site_fract_x
_atom_site_fract_y
_atom_site_fract_z
_atom_site_occupancy
Tl1 Tl 0.0049 0.4556 0.0000 1
Tl2 Tl 0.1273 0.8174 0.5868 1
Sn1 Sn 0.0000 0.0000 0.9640 1
Sn2 Sn 0.3333 0.6667 0.3129 1
Sn3 Sn 0.6667 0.3333 0.4223 1
I1 I 0.0000 0.0000 0.3844 1
I2 I 0.0919 0.5221 0.5421 1
I3 I 0.1805 0.7604 0.0776 1
I4 I 0.2604 0.1039 0.8272 1
I5 I 0.4433 0.2422 0.2763 1
I6 I 0.6667 0.3333 0.8021 1
# ρ ... 5.35 Mg/m³
# Formation energy from raw total energies ... -0.520 eV per atom

No. 4
# Tl3SnI4 GGA-PBE optimized geometry
data_Tl3SnI4
_cell_length_a 13.903
_cell_length_b 7.030
_cell_length_c 7.031
_cell_angle_alpha 90.00
_cell_angle_beta 90.00
_cell_angle_gamma 90.00
_space_group_name_H-M_alt 'P m n 21'
_space_group_IT_number 31
_space_group_name_Hall 'P 2ac -2'
loop_
_atom_site_label
_atom_site_type_symbol
_atom_site_fract_x
_atom_site_fract_y
_atom_site_fract_z
_atom_site_occupancy
Tl1 Tl 0.000 0.246 0.000 1
Tl2 Tl 0.250 0.252 0.501 1
Sn1 Sn 0.000 0.749 0.498 1
I1 I 0.000 0.248 0.500 1
I2 I 0.000 0.746 0.997 1
I3 I 0.236 0.752 0.501 1
# ρ ... 5.99 Mg/m³
# Formation energy from raw total energies ... -0.453 eV per atom

No. 5
# Tl2SnI4 GGA-PBE optimized geometry
data_Tl2SnI4
_cell_length_a 6.230
_cell_length_b 6.230
_cell_length_c 17.287
_cell_angle_alpha 90.00
_cell_angle_beta 90.00
_cell_angle_gamma 90.00
_space_group_name_H-M_alt 'I 4/m m m'
_space_group_IT_number 139
_space_group_name_Hall '-I 4 2'
loop_
_atom_site_label
_atom_site_type_symbol
_atom_site_fract_x
_atom_site_fract_y
_atom_site_fract_z
_atom_site_occupancy
Tl1 Tl 0.000 0.000 0.131 1
Sn1 Sn 0.000 0.000 0.500 1
I1 I 0.000 0.000 0.319 1
I2 I 0.000 0.500 0.000 1
# ρ ... 5.12 Mg/m³
# Offset from the most stable computed form ... 71 meV/atom
# Formation energy from raw total energies ... -0.523 eV per atom

No. 6
# TlSnI5 GGA-PBE optimized geometry
data_TlSnI5
_cell_length_a 14.114
_cell_length_b 13.967
_cell_length_c 10.318
_cell_angle_alpha 90.00
_cell_angle_beta 129.28
_cell_angle_gamma 90.00
_space_group_name_H-M_alt 'C 1 2/c 1'
_space_group_IT_number 15
_space_group_name_Hall '-C 2yc'
loop_
_atom_site_label
_atom_site_type_symbol
_atom_site_fract_x
_atom_site_fract_y
_atom_site_fract_z
_atom_site_occupancy
Tl1 Tl 0.250 0.250 0.000 1
Sn1 Sn 0.000 0.121 0.250 1
I1 I 0.000 0.393 0.750 1
I2 I 0.002 0.239 0.036 1
I3 I 0.212 0.015 0.446 1
# ρ ... 4.04 Mg/m³
# Formation energy from raw total energies ... -0.406 eV per atom

No. 7
# Tl3Sn2I7 GGA-PBE optimized geometry
data_Tl3Sn2I7
_cell_length_a 6.265
_cell_length_b 6.273
_cell_length_c 15.318
_cell_angle_alpha 97.96
_cell_angle_beta 99.03
_cell_angle_gamma 92.38
_space_group_name_H-M_alt 'P -1'
_space_group_IT_number 2
_space_group_name_Hall '-P 1'
loop_
_atom_site_label
_atom_site_type_symbol
_atom_site_fract_x
_atom_site_fract_y
_atom_site_fract_z
_atom_site_occupancy
Tl1 Tl 0.000 0.000 0.000 1
Tl2 Tl 0.095 0.073 0.357 1
Sn1 Sn 0.384 0.389 0.791 1
I1 I 0.107 0.626 0.193 1
I2 I 0.269 0.260 0.584 1
I3 I 0.354 0.909 0.813 1
I4 I 0.500 0.500 0.000 1
# ρ ... 4.91 Mg/m³
# Formation energy from raw total energies ... -0.518 eV per atom

No. 8
# TlSn2I5 GGA-PBE optimized geometry
data_TlSn2I5
_cell_length_a 8.931
_cell_length_b 8.931
_cell_length_c 15.689
_cell_angle_alpha 90.00
_cell_angle_beta 90.00
_cell_angle_gamma 90.00
_space_group_name_H-M_alt 'I 4/m c m'
_space_group_IT_number 140
_space_group_name_Hall '-I 4 2c'
loop_
_atom_site_label
_atom_site_type_symbol
_atom_site_fract_x
_atom_site_fract_y
_atom_site_fract_z
_atom_site_occupancy
Tl1 Tl 0.000 0.000 0.250 1
Sn1 Sn 0.174 0.326 0.000 1
I1 I 0.000 0.000 0.000 1
I2 I 0.158 0.342 0.362 1
# ρ ... 5.71 Mg/m³
# Formation energy from raw total energies ... -0.504 eV per atom

No. 9
# Tl2Sn2I5 GGA-PBE optimized geometry
data_Tl2Sn2I5
_cell_length_a 21.861
_cell_length_b 8.686
_cell_length_c 8.909
_cell_angle_alpha 90.00
_cell_angle_beta 104.69
_cell_angle_gamma 90.00
_space_group_name_H-M_alt 'C 1 2 1'
_space_group_IT_number 5
_space_group_name_Hall 'C 2y'
loop_
_atom_site_label
_atom_site_type_symbol
_atom_site_fract_x
_atom_site_fract_y
_atom_site_fract_z
_atom_site_occupancy
Tl1 Tl 0.102 0.000 0.107 1
Tl2 Tl 0.110 0.422 0.563 1
Sn1 Sn 0.000 0.523 0.000 1
Sn2 Sn 0.000 0.994 0.500 1
Sn3 Sn 0.214 0.282 0.179 1
I1 I 0.021 0.243 0.780 1
I2 I 0.041 0.743 0.763 1
I3 I 0.140 0.566 0.219 1
I4 I 0.146 0.047 0.500 1
I5 I 0.235 0.408 0.888 1
# ρ ... 5.20 Mg/m³
# Formation energy from raw total energies ... -0.406 eV per atom

No. 10
# Tl6SnI8 GGA-PBE optimized geometry
data_Tl6SnI8
_cell_length_a 10.5426
_cell_length_b 10.5426
_cell_length_c 20.5868
_cell_angle_alpha 90.00
_cell_angle_beta 90.00
_cell_angle_gamma 120.00
_space_group_name_H-M_alt 'R -3'
_space_group_IT_number 148
_space_group_name_Hall '-R 3'
loop_
_atom_site_label
_atom_site_type_symbol
_atom_site_fract_x
_atom_site_fract_y
_atom_site_fract_z
_atom_site_occupancy
Tl1 Tl 0.0197 0.6245 0.4262 1
Sn1 Sn 0.0000 0.0000 0.5000 1
I1 I 0.0000 0.0000 0.1648 1
I2 I 0.0076 0.7538 0.5878 1
# ρ ... 5.93 Mg/m³
# Formation energy from raw total energies ... -0.615 eV per atom

No. 11
# TlSn3I8 GGA-PBE optimized geometry
data_TlSn3I8
_cell_length_a 15.693
_cell_length_b 9.087
_cell_length_c 9.224
_cell_angle_alpha 90.00
_cell_angle_beta 125.65
_cell_angle_gamma 90.00
_space_group_name_H-M_alt 'C 1 2/m 1'
_space_group_IT_number 12
_space_group_name_Hall '-C 2y'
loop_
_atom_site_label
_atom_site_type_symbol
_atom_site_fract_x
_atom_site_fract_y
_atom_site_fract_z
_atom_site_occupancy
Tl1 Tl 0.000 0.000 0.000 1
Sn1 Sn 0.000 0.500 0.000 1
Sn2 Sn 0.250 0.250 0.000 1
I1 I 0.000 0.262 0.255 1
I2 I 0.238 0.500 0.745 1
I3 I 0.248 0.000 0.751 1
# ρ ... 4.90 Mg/m³
# Formation energy from raw total energies ... -0.459 eV per atom

No. 12
# Tl2SnI4 GGA-PBE optimized geometry
data_Tl2SnI4
_cell_length_a 16.348
_cell_length_b 4.708
_cell_length_c 9.437
_cell_angle_alpha 90.00
_cell_angle_beta 118.19
_cell_angle_gamma 90.00
_space_group_name_H-M_alt 'C 1 2/m 1'
_space_group_IT_number 12
_space_group_name_Hall '-C 2y'
loop_
_atom_site_label
_atom_site_type_symbol
_atom_site_fract_x
_atom_site_fract_y
_atom_site_fract_z
_atom_site_occupancy
Tl1 Tl 0.204 0.000 0.179 1
Sn1 Sn 0.000 0.500 0.500 1
I1 I 0.104 0.500 0.883 1
I2 I 0.139 0.000 0.512 1
# ρ ... 5.37 Mg/m³
# Offset from the most stable computed form ... 18 meV/atom
# Formation energy from raw total energies ... -0.577 eV per atom

No. 13
# Tl2Sn3I8 GGA-PBE optimized geometry
data_Tl2Sn3I8
_cell_length_a 17.294
_cell_length_b 9.258
_cell_length_c 8.064
_cell_angle_alpha 90.00
_cell_angle_beta 108.09
_cell_angle_gamma 90.00
_space_group_name_H-M_alt 'C 1 2/m 1'
_space_group_IT_number 12
_space_group_name_Hall '-C 2y'
loop_
_atom_site_label
_atom_site_type_symbol
_atom_site_fract_x
_atom_site_fract_y
_atom_site_fract_z
_atom_site_occupancy
Tl1 Tl 0.243 0.000 0.167 1
Sn1 Sn 0.000 0.241 0.500 1
Sn2 Sn 0.000 0.500 0.000 1
I1 I 0.111 0.258 0.902 1
I2 I 0.113 0.500 0.401 1
I3 I 0.115 0.000 0.440 1
# ρ ... 4.82 Mg/m³
# Formation energy from raw total energies ... -0.547 eV per atom

No. 14
# TlSnI3 GGA-PBE optimized geometry
data_TlSnI3
_cell_length_a 4.629
_cell_length_b 15.229
_cell_length_c 11.882
_cell_angle_alpha 90.00
_cell_angle_beta 90.00
_cell_angle_gamma 90.00
_space_group_name_H-M_alt 'C m c m'
_space_group_IT_number 63
_space_group_name_Hall '-C 2c 2'
loop_
_atom_site_label
_atom_site_type_symbol
_atom_site_fract_x
_atom_site_fract_y
_atom_site_fract_z
_atom_site_occupancy
Tl1 Tl 0.000 0.248 0.250 1
Sn1 Sn 0.000 0.500 0.000 1
I1 I 0.000 0.140 0.556 1
I2 I 0.000 0.424 0.750 1
# ρ ... 5.58 Mg/m³
# Formation energy from raw total energies ... -0.564 eV per atom

No. 15
# TlVSnI6 GGA-PBE optimized geometry
data_TlVSnI6
_cell_length_a 7.7503
_cell_length_b 7.7503
_cell_length_c 7.4309
_cell_angle_alpha 90.00
_cell_angle_beta 90.00
_cell_angle_gamma 120.00
_space_group_name_H-M_alt 'P 3 1 2'
_space_group_IT_number 149
_space_group_name_Hall 'P 3 2'
loop_
_atom_site_label
_atom_site_type_symbol
_atom_site_fract_x
_atom_site_fract_y
_atom_site_fract_z
_atom_site_occupancy
Tl1 Tl 0.0000 0.0000 0.0000 1
V1 V 0.6667 0.3333 0.5000 1
Sn1 Sn 0.3333 0.6667 0.5000 1
I1 I 0.3828 0.0336 0.7204 1
# ρ ... 4.88 Mg/m³
# Formation energy from raw total energies ... -0.500 eV per atom

No. 16
# TlVSnI2 GGA-PBE optimized geometry
data_TlVSnI2
_cell_length_a 6.210
_cell_length_b 6.210
_cell_length_c 5.762
_cell_angle_alpha 90.00
_cell_angle_beta 90.00
_cell_angle_gamma 90.00
_space_group_name_H-M_alt 'P 4/m m m'
_space_group_IT_number 123
_space_group_name_Hall '-P 4 2'
loop_
_atom_site_label
_atom_site_type_symbol
_atom_site_fract_x
_atom_site_fract_y
_atom_site_fract_z
_atom_site_occupancy
Tl1 Tl 0.000 0.000 0.000 1
V1 V 0.500 0.500 0.500 1
Sn1 Sn 0.000 0.000 0.500 1
I1 I 0.000 0.500 0.000 1
# ρ ... 4.69 Mg/m³
# Formation energy from raw total energies ... 0.912 eV per atom

No. 17
# YTlSn2I8 GGA-PBE optimized geometry
data_YTlSn2I8
_cell_length_a 7.312
_cell_length_b 7.781
_cell_length_c 9.545
_cell_angle_alpha 89.98
_cell_angle_beta 89.94
_cell_angle_gamma 88.95
_space_group_name_H-M_alt 'P -1'
_space_group_IT_number 2
_space_group_name_Hall '-P 1'
loop_
_atom_site_label
_atom_site_type_symbol
_atom_site_fract_x
_atom_site_fract_y
_atom_site_fract_z
_atom_site_occupancy
Y1 Y 0.000 0.000 0.000 1
Tl1 Tl 0.000 0.000 0.500 1
Sn1 Sn 0.500 0.500 0.251 1
I1 I 0.236 0.325 0.000 1
I2 I 0.248 0.844 0.224 1
I3 I 0.249 0.844 0.776 1
I4 I 0.270 0.363 0.500 1
# ρ ... 4.73 Mg/m³
# Formation energy from raw total energies ... -0.789 eV per atom

No. 18
# YTlSnI6 GGA-PBE optimized geometry
data_YTlSnI6
_cell_length_a 8.0402
_cell_length_b 8.0402
_cell_length_c 15.1902
_cell_angle_alpha 90.00
_cell_angle_beta 90.00
_cell_angle_gamma 120.00
_space_group_name_H-M_alt 'P -3 1 c'
_space_group_IT_number 163
_space_group_name_Hall '-P 3 2c'
loop_
_atom_site_label
_atom_site_type_symbol
_atom_site_fract_x
_atom_site_fract_y
_atom_site_fract_z
_atom_site_occupancy
Y1 Y 0.3333 0.6667 0.2500 1
Tl1 Tl 0.0000 0.0000 0.0000 1
Sn1 Sn 0.3333 0.6667 0.7500 1
I1 I 0.0141 0.3698 0.1332 1
# ρ ... 4.58 Mg/m³
# Formation energy from raw total energies ... -0.942 eV per atom

No. 19
# TmSnI GGA-PBE optimized geometry
data_TmSnI
_cell_length_a 15.307
_cell_length_b 3.812
_cell_length_c 6.607
_cell_angle_alpha 90.00
_cell_angle_beta 90.00
_cell_angle_gamma 90.00
_space_group_name_H-M_alt 'A m m 2'
_space_group_IT_number 38
_space_group_name_Hall 'A 2 -2'
loop_
_atom_site_label
_atom_site_type_symbol
_atom_site_fract_x
_atom_site_fract_y
_atom_site_fract_z
_atom_site_occupancy
Tm1 Tm 0.147 0.000 0.000 1
Sn1 Sn 0.000 0.000 0.667 1
Sn2 Sn 0.500 0.000 0.670 1
I1 I 0.286 0.000 0.667 1
# ρ ... 7.14 Mg/m³
# Formation energy from raw total energies ... -0.526 eV per atom

No. 20
# USnI6 GGA-PBE optimized geometry
data_USnI6
_cell_length_a 7.6739
_cell_length_b 7.6739
_cell_length_c 14.1388
_cell_angle_alpha 90.00
_cell_angle_beta 90.00
_cell_angle_gamma 120.00
_space_group_name_H-M_alt 'P -3 1 c'
_space_group_IT_number 163
_space_group_name_Hall '-P 3 2c'
loop_
_atom_site_label
_atom_site_type_symbol
_atom_site_fract_x
_atom_site_fract_y
_atom_site_fract_z
_atom_site_occupancy
U1 U 0.0000 0.0000 0.0000 1
Sn1 Sn 0.3333 0.6667 0.2500 1
I1 I 0.0086 0.3273 0.8782 1
# ρ ... 5.15 Mg/m³
# Offset from the most stable computed form ... 19 meV/atom
# Formation energy from raw total energies ... -0.662 eV per atom